# 1
GaSnSb2: optimized geometry, PBE.

abc: 7.455 7.455 7.455
angles: 90.00 90.00 90.00
Space group Fm-3m (No. 225)
Symmetry-distinct sites (fractional):
1 Ga 0.000 0.000 0.000 x4
2 Sn 0.000 0.000 0.500 x4
3 Sb 0.250 0.250 0.250 x8

Calculated values
- Formation energy without anion corrections: 0.140 eV/atom
- Density: 6.93 g/cm³
- Offset from the most stable computed form: 0.51 eV per formula unit

# 2
Ga2Sn2Sb: optimized geometry, PBE.

abc: 8.687 8.687 3.305
angles: 90.00 90.00 90.00
Space group P4/mbm (No. 127)
Symmetry-distinct sites (fractional):
1 Ga 0.123 0.377 0.000 x4
2 Sn 0.173 0.673 0.500 x4
3 Sb 0.000 0.000 0.500 x2

Calculated values
- Formation energy without anion corrections: 0.073 eV/atom
- Density: 6.64 g/cm³
- Offset from the most stable computed form: 0.00 eV per formula unit

# 3
GaSnSb: optimized geometry, PBE.

abc: 5.3775 5.3775 3.1073
angles: 90.00 90.00 120.00
Space group P3m1 (No. 156)
Symmetry-distinct sites (fractional):
1 Ga 0.0000 0.0000 0.0000 x1
2 Sn 0.6667 0.3333 0.3392 x1
3 Sb 0.3333 0.6667 0.2662 x1

Calculated values
- Formation energy without anion corrections: 0.082 eV/atom
- Density: 6.62 g/cm³
- Offset from the most stable computed form: 0.00 eV per formula unit

# 4
GaSnSb2: optimized geometry, PBE.

abc: 3.2611 3.2611 34.7538
angles: 90.00 90.00 120.00
Space group R-3m (No. 166, hexagonal axes)
Symmetry-distinct sites (fractional):
1 Ga 0.0000 0.0000 0.0000 x3
2 Sn 0.0000 0.0000 0.5000 x3
3 Sb 0.0000 0.0000 0.0816 x6

Calculated values
- Formation energy without anion corrections: 0.176 eV/atom
- Density: 6.72 g/cm³
- Offset from the most stable computed form: 0.65 eV per formula unit

# 5
Ga5Sn12Sb3: optimized geometry, PBE.

abc: 17.057 17.057 17.057
angles: 90.00 90.00 90.00
Space group Ia-3d (No. 230)
Symmetry-distinct sites (fractional):
1 Ga 0.000 0.000 0.000 x16
2 Ga 0.000 0.250 0.375 x24
3 Sn 0.017 0.069 0.652 x96
4 Sb 0.000 0.250 0.125 x24

Calculated values
- Formation energy without anion corrections: 0.209 eV/atom
- Density: 5.72 g/cm³

# 6
GaSnSb2: optimized geometry, PBE.

abc: 4.722 4.722 4.724
angles: 90.00 90.00 90.00
Space group P4/mmm (No. 123)
Symmetry-distinct sites (fractional):
1 Ga 0.000 0.000 0.000 x1
2 Sn 0.500 0.500 0.000 x1
3 Sb 0.000 0.500 0.500 x2

Calculated values
- Formation energy without anion corrections: 0.125 eV/atom
- Density: 6.81 g/cm³
- Offset from the most stable computed form: 0.45 eV per formula unit

# 7
GaSn4Sb5: optimized geometry, PBE.

abc: 4.4362 4.4362 69.4804
angles: 90.00 90.00 120.00
Space group R3m (No. 160, hexagonal axes)
Symmetry-distinct sites (fractional):
1 Ga 0.0000 0.0000 0.0000 x3
2 Sn 0.0000 0.0000 0.1993 x3
3 Sn 0.0000 0.0000 0.3920 x3
4 Sn 0.0000 0.0000 0.6129 x3
5 Sn 0.0000 0.0000 0.8045 x3
6 Sb 0.0000 0.0000 0.0383 x3
7 Sb 0.0000 0.0000 0.2604 x3
8 Sb 0.0000 0.0000 0.4520 x3
9 Sb 0.0000 0.0000 0.6541 x3
10 Sb 0.0000 0.0000 0.8456 x3

Calculated values
- Formation energy without anion corrections: 0.051 eV/atom
- Density: 4.85 g/cm³

# 8
Ga2Sn2Sb: optimized geometry, PBE.

abc: 8.576 8.576 3.311
angles: 90.00 90.00 90.00
Space group P4/mbm (No. 127)
Symmetry-distinct sites (fractional):
1 Ga 0.157 0.343 0.000 x4
2 Sn 0.142 0.642 0.500 x4
3 Sb 0.000 0.000 0.000 x2

Calculated values
- Formation energy without anion corrections: 0.117 eV/atom
- Density: 6.80 g/cm³
- Offset from the most stable computed form: 0.22 eV per formula unit